LiSmAlGe2, relaxed, DFT PBE; SG = I-4m2 (119); E_tot = -4.456 eV per atom; calculated volume = 19.37 A^3/atom; calculated formation energy = -0.534 eV/atom; crystal system = tetragonal; M_tot = 0.00 Bohr magnetons per cell
1.0
4.1408 0.0000 0.0000
0.0000 4.1408 0.0000
0.0000 0.0000 11.2974
Li Sm Al Ge
2 2 2 4
direct
0.0000 0.0000 0.0000
0.5000 0.5000 0.5000
0.0000 0.5000 0.2500
0.5000 0.0000 0.7500
0.0000 0.0000 0.5000
0.5000 0.5000 0.0000
0.0000 0.5000 0.6373
0.0000 0.5000 0.8627
0.5000 0.0000 0.1373
0.5000 0.0000 0.3627